Entry 1:
First-principles (GGA-PBE) data for a relaxed YSc2Sb crystal, as listed in Alexandria via LeMat-Bulk.

Geometry as extended XYZ:
```
4
Lattice="-2.222 2.222 5.001 2.222 -2.222 5.001 2.222 2.222 -5.001" Properties=species:S:1:pos:R:3 pbc="T T T"
Y 0.000 0.000 0.000
Sc 0.000 0.000 5.001
Sc 0.000 2.222 2.501
Sb 2.222 0.000 2.501
```

Calculated values
- Raw total energy: -25.13 eV/cell
- Formation energy without anion corrections: -45 kJ per mole of atoms
- DOS at the Fermi energy: 5.21 states/eV per cell
- Calculated volume: 24.70 Å³ per atom
- Total magnetization: 0.253 μB/atom



Entry 2:
First-principles (GGA-PBE) data for a relaxed YScSb2 crystal, as listed in Alexandria via LeMat-Bulk.

Geometry as extended XYZ:
```
4
Lattice="3.724 0.000 0.000 0.000 3.997 0.000 -1.849 0.000 6.999" Properties=species:S:1:pos:R:3 pbc="T T T"
Y 0.000 0.000 0.000
Sc -0.924 0.000 3.500
Sb 0.427 1.999 5.165
Sb 1.447 1.999 1.834
```

Calculated values
- Raw total energy: -24.21 eV/cell
- Formation energy without anion corrections: -76 kJ per mole of atoms
- Excess energy over the best structure of this formula in the dataset: 252.9 meV/atom
- DOS at the Fermi energy: 1.95 states/eV per cell
- Calculated volume: 26.05 Å³ per atom
- Total magnetization: 0.000 μB/atom



Entry 3:
First-principles (GGA-PBE) data for a relaxed YSc2Sb crystal, as listed in Alexandria via LeMat-Bulk.

Geometry as extended XYZ:
```
4
Lattice="1.736 1.002 10.102 -1.736 1.002 10.102 0.000 -2.005 10.102" Properties=species:S:1:pos:R:3 pbc="T T T"
Y 0.000 0.000 0.000
Sc 0.000 0.000 7.349
Sc 0.000 0.000 22.958
Sb 0.000 0.000 15.154
```

Calculated values
- Raw total energy: -24.13 eV/cell
- Formation energy without anion corrections: -21 kJ per mole of atoms
- DOS at the Fermi energy: 5.20 states/eV per cell
- Calculated volume: 26.37 Å³ per atom
- Total magnetization: 0.000 μB/atom



Question: The lowest calculated volume belongs to which entry?
Answer: number 1



Question: Which of these has the lowest formation energy without anion corrections?
Answer: YScSb2



Please write out number 1 again, unchanged.
First-principles (GGA-PBE) data for a relaxed YSc2Sb crystal, as listed in Alexandria via LeMat-Bulk.

Geometry as extended XYZ:
```
4
Lattice="-2.222 2.222 5.001 2.222 -2.222 5.001 2.222 2.222 -5.001" Properties=species:S:1:pos:R:3 pbc="T T T"
Y 0.000 0.000 0.000
Sc 0.000 0.000 5.001
Sc 0.000 2.222 2.501
Sb 2.222 0.000 2.501
```

Calculated values
- Raw total energy: -25.13 eV/cell
- Formation energy without anion corrections: -45 kJ per mole of atoms
- DOS at the Fermi energy: 5.21 states/eV per cell
- Calculated volume: 24.70 Å³ per atom
- Total magnetization: 0.253 μB/atom



Question: Number 2 is which compound?
Answer: YScSb2